#a
Density functional theory data (PBEsol) for crystalline MgAl2Hg at its relaxed geometry.

V, Å³/f.u.: 74.7
Total magnetization, μB/f.u.: 0.00
Space group: No. 119

Lattice parameters (Å, degrees): 4.224 4.224 5.142 114.25 114.25 90.00
Positions (direct):
1 Al 0.500 0.500 0.000
2 Al 0.750 0.250 0.500
3 Hg 0.000 0.000 0.000
4 Mg 0.250 0.750 0.500

#b
Density functional theory data (PBEsol) for crystalline MgAl2Hg at its relaxed geometry.

V, Å³/f.u.: 76.0
Total magnetization, μB/f.u.: 0.00
Space group: No. 65

Lattice parameters (Å, degrees): 3.141 5.125 5.125 112.93 90.00 90.00
Positions (direct):
1 Al 0.000 0.500 0.000
2 Al 0.000 0.000 0.500
3 Hg 0.500 0.000 0.000
4 Mg 0.500 0.500 0.500

Most stable structure, least stable structure: #a, #b.

#a
Density functional theory data (PBEsol) for crystalline AlNi2Hg at its relaxed geometry.

V, Å³/f.u.: 56.0
Total magnetization, μB/f.u.: 0.00
Space group: No. 12

Lattice parameters (Å, degrees): 2.822 4.184 5.131 100.37 90.00 109.70
Positions (direct):
1 Ni 0.741 0.482 0.704
2 Ni 0.259 0.518 0.296
3 Hg 0.500 0.000 0.000
4 Al 0.000 0.000 0.500

#b
Density functional theory data (PBEsol) for crystalline AlNi2Hg at its relaxed geometry.

V, Å³/f.u.: 53.5
Total magnetization, μB/f.u.: 0.00
Space group: No. 123

Lattice parameters (Å, degrees): 3.384 3.978 3.978 90.03 90.00 90.00
Positions (direct):
1 Ni 0.000 0.500 0.000
2 Ni 0.000 0.000 0.500
3 Hg 0.500 0.500 0.500
4 Al 0.500 0.000 0.000

#c
Density functional theory data (PBEsol) for crystalline AlNi2Hg at its relaxed geometry.

V, Å³/f.u.: 53.2
Total magnetization, μB/f.u.: 0.00
Space group: No. 123

Lattice parameters (Å, degrees): 2.876 2.876 6.436 90.00 90.00 90.00
Positions (direct):
1 Ni 0.000 0.000 0.788
2 Ni 0.000 0.000 0.212
3 Hg 0.500 0.500 0.500
4 Al 0.500 0.500 0.000

Most stable structure, least stable structure: #c, #a.

#a
Density functional theory data (PBEsol) for crystalline RbAl3Hg at its relaxed geometry.

V, Å³/f.u.: 210.8
Total magnetization, μB/f.u.: 0.00
Space group: No. 221

Lattice parameters (Å, degrees): 5.951 5.951 5.951 90.00 90.00 90.00
Positions (direct):
1 Hg 0.500 0.500 0.500
2 Rb 0.000 0.000 0.000
3 Al 0.000 0.500 0.000
4 Al 0.000 0.000 0.500
5 Al 0.500 0.000 0.000

#b
Density functional theory data (PBEsol) for crystalline RbAl3Hg at its relaxed geometry.

V, Å³/f.u.: 145.8
Total magnetization, μB/f.u.: 0.00
Space group: No. 221

Lattice parameters (Å, degrees): 5.264 5.264 5.264 90.00 90.00 90.00
Positions (direct):
1 Hg 0.000 0.000 0.000
2 Rb 0.500 0.500 0.500
3 Al 0.000 0.500 0.000
4 Al 0.000 0.000 0.500
5 Al 0.500 0.000 0.000

Most stable structure, least stable structure: #b, #a.

#a
Density functional theory data (PBEsol) for crystalline AlHgRu2 at its relaxed geometry.

V, Å³/f.u.: 60.9
Total magnetization, μB/f.u.: 0.00
Space group: No. 12

Lattice parameters (Å, degrees): 2.855 4.571 5.033 101.88 90.00 108.20
Positions (direct):
1 Ru 0.736 0.473 0.715
2 Ru 0.264 0.527 0.285
3 Hg 0.500 0.000 0.000
4 Al 0.000 0.000 0.500

#b
Density functional theory data (PBEsol) for crystalline AlHgRu2 at its relaxed geometry.

V, Å³/f.u.: 61.5
Total magnetization, μB/f.u.: 0.00
Space group: No. 99

Lattice parameters (Å, degrees): 2.816 2.816 7.760 90.00 90.00 90.00
Positions (direct):
1 Ru 0.000 0.000 0.034
2 Ru 0.500 0.500 0.245
3 Hg 0.500 0.500 0.759
4 Al 0.000 0.000 0.462

#c
Density functional theory data (PBEsol) for crystalline AlHgRu2 at its relaxed geometry.

V, Å³/f.u.: 61.0
Total magnetization, μB/f.u.: 0.00
Space group: No. 12

Lattice parameters (Å, degrees): 2.817 4.914 5.198 116.75 103.40 94.76
Positions (direct):
1 Ru 0.000 0.000 0.500
2 Ru 0.500 0.500 0.500
3 Hg 0.000 0.500 0.000
4 Al 0.500 0.000 0.000

Most stable structure, least stable structure: #b, #c.

#a
Density functional theory data (PBEsol) for crystalline Al2HgS4 at its relaxed geometry.

V, Å³/f.u.: 135.3
Total magnetization, μB/f.u.: 0.00
Space group: No. 227

Lattice parameters (Å, degrees): 7.260 7.260 7.260 60.00 60.00 60.00
Positions (direct):
1 S 0.890 0.890 0.890
2 S 0.890 0.890 0.330
3 S 0.890 0.330 0.890
4 S 0.330 0.890 0.890
5 S 0.360 0.360 0.360
6 S 0.360 0.360 0.920
7 S 0.360 0.920 0.360
8 S 0.920 0.360 0.360
9 Al 0.125 0.125 0.125
10 Al 0.125 0.125 0.625
11 Al 0.125 0.625 0.125
12 Al 0.625 0.125 0.125
13 Hg 0.750 0.750 0.750
14 Hg 0.500 0.500 0.500

#b
Density functional theory data (PBEsol) for crystalline Al2HgS4 at its relaxed geometry.

V, Å³/f.u.: 154.2
Total magnetization, μB/f.u.: 0.00
Space group: No. 82

Lattice parameters (Å, degrees): 5.501 5.501 6.411 115.41 115.41 90.00
Positions (direct):
1 S 0.134 0.590 0.724
2 S 0.590 0.134 0.724
3 S 0.866 0.866 0.276
4 S 0.410 0.410 0.276
5 Hg 0.000 0.000 0.000
6 Al 0.750 0.250 0.500
7 Al 0.500 0.500 0.000

Most stable structure, least stable structure: #a, #b.

#a
Density functional theory data (PBEsol) for crystalline Al2HgSb at its relaxed geometry.

V, Å³/f.u.: 85.3
Total magnetization, μB/f.u.: 0.00
Space group: No. 71

Lattice parameters (Å, degrees): 4.081 5.192 5.192 60.55 66.86 66.86
Positions (direct):
1 Sb 0.000 0.500 0.500
2 Hg 0.500 0.000 0.000
3 Al 0.238 0.762 0.762
4 Al 0.762 0.238 0.238

#b
Density functional theory data (PBEsol) for crystalline Al2HgSb at its relaxed geometry.

V, Å³/f.u.: 88.4
Total magnetization, μB/f.u.: 0.00
Space group: No. 166

Lattice parameters (Å, degrees): 4.040 4.040 6.677 72.39 72.39 60.00
Positions (direct):
1 Sb 0.500 0.500 0.500
2 Hg 0.000 0.000 0.000
3 Al 0.747 0.747 0.760
4 Al 0.253 0.253 0.240

Most stable structure, least stable structure: #b, #a.

#a
Density functional theory data (PBEsol) for crystalline AlHgSe2 at its relaxed geometry.

V, Å³/f.u.: 97.1
Total magnetization, μB/f.u.: 0.00
Space group: No. 166

Lattice parameters (Å, degrees): 3.678 3.678 8.553 77.58 77.58 60.00
Positions (direct):
1 Hg 0.000 0.000 0.000
2 Se 0.889 0.889 0.334
3 Se 0.111 0.111 0.666
4 Al 0.500 0.500 0.500

#b
Density functional theory data (PBEsol) for crystalline AlHgSe2 at its relaxed geometry.

V, Å³/f.u.: 92.4
Total magnetization, μB/f.u.: 0.00
Space group: No. 65

Lattice parameters (Å, degrees): 3.347 3.347 9.140 90.00 90.00 115.49
Positions (direct):
1 Hg 0.500 0.500 0.000
2 Se 0.000 0.000 0.316
3 Se 0.000 0.000 0.684
4 Al 0.500 0.500 0.500

Most stable structure, least stable structure: #a, #b.

#a
Density functional theory data (PBEsol) for crystalline AlHgSe2 at its relaxed geometry.

V, Å³/f.u.: 86.1
Total magnetization, μB/f.u.: 0.00
Space group: No. 44

Lattice parameters (Å, degrees): 3.498 3.685 7.148 104.94 104.16 90.00
Positions (direct):
1 Hg 0.203 0.703 0.407
2 Se 0.030 0.030 0.061
3 Se 0.814 0.314 0.629
4 Al 0.452 0.452 0.903

#b
Density functional theory data (PBEsol) for crystalline AlHgSe2 at its relaxed geometry.

V, Å³/f.u.: 80.7
Total magnetization, μB/f.u.: 0.00
Space group: No. 123

Lattice parameters (Å, degrees): 3.415 4.862 4.862 90.00 90.00 90.00
Positions (direct):
1 Hg 0.500 0.000 0.000
2 Se 0.000 0.000 0.500
3 Se 0.000 0.500 0.000
4 Al 0.500 0.500 0.500

Most stable structure, least stable structure: #a, #b.

#a
Density functional theory data (PBEsol) for crystalline AlSi2Hg at its relaxed geometry.

V, Å³/f.u.: 72.0
Total magnetization, μB/f.u.: 0.00
Space group: No. 123

Lattice parameters (Å, degrees): 2.765 2.765 9.416 90.00 90.00 89.92
Positions (direct):
1 Si 0.000 0.000 0.294
2 Si 0.000 0.000 0.706
3 Hg 0.500 0.500 0.000
4 Al 0.500 0.500 0.500

#b
Density functional theory data (PBEsol) for crystalline AlSi2Hg at its relaxed geometry.

V, Å³/f.u.: 71.3
Total magnetization, μB/f.u.: 0.00
Space group: No. 166

Lattice parameters (Å, degrees): 2.858 2.858 10.206 81.95 81.95 60.00
Positions (direct):
1 Si 0.237 0.237 0.288
2 Si 0.763 0.763 0.712
3 Hg 0.000 0.000 0.000
4 Al 0.500 0.500 0.500

Most stable structure, least stable structure: #a, #b.

#a
Density functional theory data (PBEsol) for crystalline SrAlHg at its relaxed geometry.

V, Å³/f.u.: 85.3
Total magnetization, μB/f.u.: 0.00
Space group: No. 216

Lattice parameters (Å, degrees): 4.940 4.940 4.940 60.00 60.00 60.00
Positions (direct):
1 Sr 0.500 0.500 0.500
2 Hg 0.000 0.000 0.000
3 Al 0.250 0.250 0.250

#b
Density functional theory data (PBEsol) for crystalline SrAlHg at its relaxed geometry.

V, Å³/f.u.: 77.5
Total magnetization, μB/f.u.: 0.00
Space group: No. 187

Lattice parameters (Å, degrees): 3.951 4.761 4.761 120.00 90.00 90.00
Positions (direct):
1 Sr 0.500 0.333 0.667
2 Hg 0.000 0.667 0.333
3 Al 0.000 0.000 0.000

Most stable structure, least stable structure: #b, #a.

#a
Density functional theory data (PBEsol) for crystalline SrAl2Hg at its relaxed geometry.

V, Å³/f.u.: 100.4
Total magnetization, μB/f.u.: 0.00
Space group: No. 166

Lattice parameters (Å, degrees): 4.445 4.445 6.404 69.69 69.69 60.00
Positions (direct):
1 Sr 0.500 0.500 0.500
2 Hg 0.000 0.000 0.000
3 Al 0.713 0.713 0.862
4 Al 0.287 0.287 0.138

#b
Density functional theory data (PBEsol) for crystalline SrAl2Hg at its relaxed geometry.

V, Å³/f.u.: 91.8
Total magnetization, μB/f.u.: 0.00
Space group: No. 44

Lattice parameters (Å, degrees): 4.905 5.073 5.073 61.68 61.09 61.09
Positions (direct):
1 Sr 0.251 0.249 0.249
2 Hg 0.487 0.513 0.513
3 Al 0.015 0.985 0.985
4 Al 0.746 0.754 0.754

Most stable structure, least stable structure: #a, #b.

#a
Density functional theory data (PBEsol) for crystalline YAl2Hg at its relaxed geometry.

V, Å³/f.u.: 82.8
Total magnetization, μB/f.u.: 0.00
Space group: No. 216

Lattice parameters (Å, degrees): 4.892 4.892 4.892 60.00 60.00 60.00
Positions (direct):
1 Y 0.250 0.250 0.250
2 Hg 0.500 0.500 0.500
3 Al 0.000 0.000 0.000
4 Al 0.750 0.750 0.750

#b
Density functional theory data (PBEsol) for crystalline YAl2Hg at its relaxed geometry.

V, Å³/f.u.: 79.9
Total magnetization, μB/f.u.: 0.00
Space group: No. 123

Lattice parameters (Å, degrees): 4.234 4.345 4.345 90.00 90.00 90.00
Positions (direct):
1 Y 0.500 0.000 0.000
2 Hg 0.500 0.500 0.500
3 Al 0.000 0.000 0.500
4 Al 0.000 0.500 0.000

#c
Density functional theory data (PBEsol) for crystalline YAl2Hg at its relaxed geometry.

V, Å³/f.u.: 86.3
Total magnetization, μB/f.u.: 0.00
Space group: No. 166

Lattice parameters (Å, degrees): 3.254 3.254 9.596 80.24 80.24 60.00
Positions (direct):
1 Y 0.000 0.000 0.000
2 Hg 0.500 0.500 0.500
3 Al 0.244 0.244 0.268
4 Al 0.756 0.756 0.732

Most stable structure, least stable structure: #b, #c.

#a
Density functional theory data (PBEsol) for crystalline AlI2N2 at its relaxed geometry.

V, Å³/f.u.: 101.1
Total magnetization, μB/f.u.: 2.99
Space group: No. 123

Lattice parameters (Å, degrees): 4.133 4.133 5.920 90.00 90.00 90.00
Positions (direct):
1 I 0.500 0.500 0.500
2 I 0.000 0.000 0.500
3 Al 0.000 0.000 0.000
4 N 0.000 0.500 0.000
5 N 0.500 0.000 0.000

#b
Density functional theory data (PBEsol) for crystalline AlI2N2 at its relaxed geometry.

V, Å³/f.u.: 119.1
Total magnetization, μB/f.u.: 2.96
Space group: No. 123

Lattice parameters (Å, degrees): 3.412 5.908 5.908 90.00 90.00 90.00
Positions (direct):
1 I 0.000 0.000 0.500
2 I 0.000 0.500 0.000
3 Al 0.000 0.000 0.000
4 N 0.500 0.500 0.500
5 N 0.500 0.000 0.000

Most stable structure, least stable structure: #a, #b.